[1]
First-principles (PBE) data for a relaxed Pu2VSn crystal, as listed in the Alexandria database.

Properties
The value obtained for the energy above the most stable polymorph in this dataset is 0.0 meV per atom. Its density is 12.57 g cm⁻³.

a = 4.3103 Å, b = 4.3103 Å, c = 4.6779 Å
α = 90.00°, β = 90.00°, γ = 90.00°
With the nearest neighbours (Å) after each atom.
Atoms (fractional coordinates):
Pu1 0.0000 0.5000 0.0000  4 Pu 3.05, 4 Sn 3.18, 4 V 3.18
Pu2 0.5000 0.0000 0.0000  4 Pu 3.05, 4 Sn 3.18, 4 V 3.18
V1 0.0000 0.0000 0.5000  4 Sn 3.05, 8 Pu 3.18
Sn1 0.5000 0.5000 0.5000  4 V 3.05, 8 Pu 3.18


[2]
First-principles (PBE) data for a relaxed Ba2ZnGa2 crystal, as listed in the Alexandria database.

Properties
The value obtained for the energy above the most stable polymorph in this dataset is 0.0 meV per atom. Its density is 5.26 g cm⁻³.

a = 6.2258 Å, b = 6.2258 Å, c = 11.5278 Å
α = 113.55°, β = 113.55°, γ = 48.93°
With the nearest neighbours (Å) after each atom.
Atoms (fractional coordinates):
Ba1 0.0921 0.0921 0.3796  6 Ga 3.42-3.66, 2 Zn 3.80
Ba2 0.3124 0.3124 0.8331  4 Zn 3.35-3.54, 5 Ga 3.38-3.70
Ba3 0.6876 0.6876 0.1669  4 Zn 3.35-3.54, 5 Ga 3.38-3.70
Ba4 0.9079 0.9079 0.6204  6 Ga 3.42-3.66, 2 Zn 3.80
Zn1 0.3657 0.3657 0.1447  4 Ga 2.70-2.95
Zn2 0.6343 0.6343 0.8553  4 Ga 2.70-2.95
Ga1 0.0878 0.0878 0.9520  1 Ga 2.67, 3 Zn 2.95
Ga2 0.4000 0.4000 0.3919  1 Ga 2.53, 1 Zn 2.70
Ga3 0.6000 0.6000 0.6081  1 Ga 2.53, 1 Zn 2.70
Ga4 0.9122 0.9122 0.0480  1 Ga 2.67, 3 Zn 2.95


We obtain E_form values of -0.0309; -0.3297 eV per atom for the records listed above, in that order.